TbErB4 | GGA-PBE | relaxed

Unit cell a=3.566 b=3.566 c=6.288 alpha=106.47 beta=106.47 gamma=90.00
Fractional positions:
B  0.422  0.422  0.845
Er  0.000  0.000  0.000
B  0.671  0.171  0.342
B  0.578  0.578  0.155
B  0.829  0.329  0.658
Tb  0.250  0.750  0.500

## Properties
calculated formation energy	-0.4215	eV per atom
excess energy over the best structure of this formula in the dataset	0.0	meV/atom
theoretical density	8.4	g/cm³
symmetry	I-4m2

Tb2ErB6 | GGA-PBE | relaxed

Unit cell a=3.884 b=5.697 c=5.697 alpha=120.00 beta=90.00 gamma=90.00
Fractional positions:
B  0.500  0.331  0.331
Tb  0.000  0.667  0.333
B  0.500  0.331  0.000
B  0.500  0.669  0.000
Er  0.000  0.000  0.000
B  0.500  0.000  0.669
Tb  0.000  0.333  0.667
B  0.500  0.000  0.331
B  0.500  0.669  0.669

## Properties
calculated formation energy	-0.5621	eV per atom
theoretical density	8.4	g/cm³
symmetry	P6/mmm

ErTcB2 | GGA-PBE | relaxed

Unit cell a=3.354 b=6.002 c=10.232 alpha=90.00 beta=90.00 gamma=90.00
Fractional positions:
Tc  0.750  0.872  0.437
B  0.750  0.468  0.825
Er  0.250  0.612  0.639
B  0.250  0.229  0.189
Er  0.750  0.888  0.139
Tc  0.250  0.128  0.563
Er  0.250  0.112  0.861
B  0.250  0.532  0.175
B  0.750  0.968  0.675
B  0.250  0.729  0.311
Er  0.750  0.388  0.361
B  0.750  0.771  0.811
Tc  0.250  0.628  0.937
Tc  0.750  0.372  0.063
B  0.250  0.032  0.325
B  0.750  0.271  0.689

## Properties
calculated formation energy	-0.4486	eV per atom
excess energy over the best structure of this formula in the dataset	155.2	meV/atom
theoretical density	9.3	g/cm³
symmetry	Pnma

Er3TcB7 | GGA-PBE | relaxed

Unit cell a=3.517 b=8.022 c=9.291 alpha=90.00 beta=90.00 gamma=102.66
Fractional positions:
B  0.632  0.264  0.850
Er  0.105  0.210  0.441
B  0.273  0.546  0.467
Er  0.895  0.790  0.559
B  0.273  0.546  0.033
Er  0.895  0.790  0.941
B  0.368  0.736  0.150
B  0.520  0.040  0.905
Tc  0.053  0.106  0.750
B  0.480  0.960  0.095
B  0.520  0.040  0.595
B  0.480  0.960  0.405
Er  0.758  0.517  0.250
Er  0.105  0.210  0.059
B  0.727  0.454  0.967
B  0.727  0.454  0.533
B  0.368  0.736  0.350
Tc  0.947  0.894  0.250
B  0.544  0.088  0.250
B  0.456  0.912  0.750
B  0.632  0.264  0.650
Er  0.242  0.483  0.750

## Properties
calculated formation energy	-0.6674	eV per atom
theoretical density	8.8	g/cm³
symmetry	Cmcm

Question: What is the theoretical density in the first record?
Answer: 8.4 g/cm³

Question: calculated formation energy of number 1 (TbErB4)?
Answer: -0.4215 eV per atom